Record 1
Material: AsOs2
Method: DFT, PBE
State: relaxed

POSCAR file:
```
AsOs2
1.0
2.865 0.000 0.000
-1.432 2.481 0.000
0.000 0.000 6.221
As Os
1 2
Direct
0.000 0.000 0.000
0.333 0.667 0.332
0.667 0.333 0.668
```

Values from the calculation:
Calculated formation energy (eV/f.u.): 1.1
E (eV/cell): -26.0

Record 2
Material: AsOs2
Method: DFT, PBE
State: relaxed

POSCAR file:
```
AsOs2
1.0
5.198 -1.450 0.000
5.198 1.450 0.000
-1.944 0.000 5.907
As Os
2 4
Direct
0.190 0.190 0.151
0.810 0.810 0.849
0.131 0.131 0.498
0.437 0.437 0.178
0.563 0.563 0.822
0.869 0.869 0.502
```

Values from the calculation:
Calculated formation energy (eV/f.u.): 0.9
E (eV/cell): -52.4

Copy entry 1 word for word.
Material: AsOs2
Method: DFT, PBE
State: relaxed

POSCAR file:
```
AsOs2
1.0
2.865 0.000 0.000
-1.432 2.481 0.000
0.000 0.000 6.221
As Os
1 2
Direct
0.000 0.000 0.000
0.333 0.667 0.332
0.667 0.333 0.668
```

Values from the calculation:
Calculated formation energy (eV/f.u.): 1.1
E (eV/cell): -26.0

Copy entry 1 word for word.
Material: AsOs2
Method: DFT, PBE
State: relaxed

POSCAR file:
```
AsOs2
1.0
2.865 0.000 0.000
-1.432 2.481 0.000
0.000 0.000 6.221
As Os
1 2
Direct
0.000 0.000 0.000
0.333 0.667 0.332
0.667 0.333 0.668
```

Values from the calculation:
Calculated formation energy (eV/f.u.): 1.1
E (eV/cell): -26.0

Q: E of number 2 (AsOs2)?
A: -52.4 eV/cell

Repeat the first record exactly.
Material: AsOs2
Method: DFT, PBE
State: relaxed

POSCAR file:
```
AsOs2
1.0
2.865 0.000 0.000
-1.432 2.481 0.000
0.000 0.000 6.221
As Os
1 2
Direct
0.000 0.000 0.000
0.333 0.667 0.332
0.667 0.333 0.668
```

Values from the calculation:
Calculated formation energy (eV/f.u.): 1.1
E (eV/cell): -26.0